A plane-wave DFT calculation with GGA-PBE was carried out for a geometry-optimized In2Rh2I structure.

Total magnetic moment   0.000 μB per cell
VASP energy   -4.4197 eV per atom

```
data_In2Rh2I
_cell_length_a 7.6672
_cell_length_b 7.6672
_cell_length_c 3.4102
_cell_angle_alpha 90.00
_cell_angle_beta 90.00
_cell_angle_gamma 90.00
_symmetry_space_group_name_H-M 'P 4/m b m'
_symmetry_Int_Tables_number 127
_symmetry_space_group_name_Hall '-P 4 2ab'
loop_
_atom_site_label
_atom_site_type_symbol
_atom_site_fract_x
_atom_site_fract_y
_atom_site_fract_z
_atom_site_occupancy
In1 In 0.1479 0.3521 0.0000 1
Rh1 Rh 0.1475 0.6475 0.5000 1
I1 I 0.0000 0.0000 0.5000 1
```